1.
LaGaH3 | GGA-PBEsol | relaxed

crystal system	cubic

Lattice parameters (Å, degrees): 3.8038 3.8038 3.8038 90.00 90.00 90.00
With the nearest neighbours (Å) after each atom.
Space group Pm-3m (No. 221)
Symmetry-distinct sites (fractional):
La (0.0000, 0.0000, 0.0000)  12 H 2.69
Ga (0.5000, 0.5000, 0.5000)  6 H 1.90
H (0.0000, 0.5000, 0.5000)  2 Ga 1.90



2.
SrTaRe2Au | GGA-PBEsol | relaxed

crystal system	tetragonal
ΔH_f (0 K)	2154	meV/atom

Lattice parameters (Å, degrees): 4.9593 4.9593 4.8680 90.00 90.00 90.00
With the nearest neighbours (Å) after each atom.
Space group P4/mmm (No. 123)
Symmetry-distinct sites (fractional):
Sr (0.0000, 0.0000, 0.0000)  8 Re 3.47, 4 Ta 3.51
Ta (0.5000, 0.5000, 0.0000)  2 Au 2.43
Re (0.0000, 0.5000, 0.5000)  2 Au 2.48
Au (0.5000, 0.5000, 0.5000)  2 Ta 2.43, 4 Re 2.48



3.
Li4Ti2Si4O13 | GGA-PBEsol | relaxed

crystal system	orthorhombic

Lattice parameters (Å, degrees): 13.7429 5.0045 13.9864 90.00 90.00 90.00
With the nearest neighbours (Å) after each atom.
Space group Pna2_1 (No. 33)
Symmetry-distinct sites (fractional):
Li (0.0323, 0.1716, 0.0000)  3 O 1.94-2.04
Li (0.1153, 0.6751, 0.3001)  3 O 1.97-2.13
Li (0.1302, 0.6517, 0.1121)  3 O 1.96-2.09
Li (0.2148, 0.2551, 0.3875)  2 O 1.89-1.98
Ti (0.0844, 0.3482, 0.6043)  6 O 1.97-2.09
Ti (0.1669, 0.1843, 0.8004)  6 O 1.98-2.14
Si (0.0223, 0.1626, 0.2263)  4 O 1.61-1.68
Si (0.0583, 0.6867, 0.9095)  4 O 1.62-1.68
Si (0.1917, 0.8493, 0.4966)  4 O 1.62-1.68
Si (0.2234, 0.1796, 0.1792)  4 O 1.62-1.68
O (0.0249, 0.4471, 0.1728)  1 Si 1.61
O (0.0318, 0.7680, 0.0196)  1 Si 1.63
O (0.0359, 0.2099, 0.3423)  2 Si 1.65-1.68
O (0.0670, 0.0381, 0.7026)  1 Si 1.62
O (0.0703, 0.3691, 0.8870)  1 Si 1.63
O (0.0959, 0.6764, 0.5223)  1 Si 1.62
O (0.1238, 0.9923, 0.1986)  2 Si 1.68
O (0.1533, 0.8588, 0.8800)  1 Si 1.62
O (0.1789, 0.1667, 0.5210)  1 Si 1.63
O (0.1856, 0.4836, 0.7006)  1 Si 1.62
O (0.2137, 0.2548, 0.0648)  2 Si 1.65-1.68
O (0.2173, 0.4492, 0.2426)  1 Si 1.62
O (0.2189, 0.8243, 0.3834)  1 Si 1.63



no.,calculated total energy (eV for the cell shown)
1,-19.27
2,-34.21
3,-705.61